DFT (PBE-GGA) results for a geometry-optimized Sm5TmIn8 structure.

symmetry = I-4
energy of formation from the pure elements = -0.359 eV/atom
magnetization = 0.00 μB/cell

Cell: 8.0516 8.0516 8.0516 Å, 109.12 110.17 109.12°
Fractional coordinates of all 14 atoms:
In (0.2980, 0.2602, 0.3863)
In (0.6137, 0.9117, 0.8739)
Sm (0.5000, 0.0000, 0.5000)
Sm (0.8805, 0.8729, 0.2477)
In (0.9622, 0.0883, 0.7020)
In (0.1261, 0.7398, 0.0378)
In (0.1315, 0.7457, 0.5474)
In (0.8017, 0.2543, 0.3857)
In (0.6143, 0.4159, 0.8685)
Sm (0.7523, 0.6328, 0.6251)
Tm (0.2500, 0.5000, 0.7500)
Sm (0.3748, 0.1271, 0.0076)
Sm (0.9924, 0.3672, 0.1195)
In (0.4526, 0.5841, 0.1983)

DFT (PBE-GGA) results for a geometry-optimized SrHf2UO8 structure.

symmetry = Cmmm
E_form (uncorrected) = -3249 meV per atom
magnetization = 0.00 μB/cell

Cell: 5.0663 5.0656 6.7718 Å, 90.01 90.01 88.49°
Fractional coordinates of all 12 atoms:
Hf (0.5000, 0.5000, 0.2572)
Hf (0.5000, 0.5000, 0.7428)
O (0.3300, 0.3296, 0.5000)
O (0.7929, 0.2073, 0.2138)
O (0.2072, 0.7928, 0.2138)
O (0.2071, 0.7927, 0.7862)
O (0.3033, 0.3032, 0.0000)
Sr (0.0000, 0.0000, 0.5000)
O (0.6967, 0.6968, 0.0000)
O (0.6700, 0.6704, 0.5000)
U (0.0000, 0.0000, 0.0000)
O (0.7928, 0.2072, 0.7862)

DFT (PBE-GGA) results for a geometry-optimized NaBeZnAu6 structure.

symmetry = Imma
energy of formation from the pure elements = -0.099 eV/atom
magnetization = 0.00 μB/cell

Cell: 6.7361 8.8589 7.8939 Å, 124.13 115.26 90.00°
Fractional coordinates of all 18 atoms:
Au (0.5670, 0.8170, 0.1340)
Na (0.7094, 0.4594, 0.4188)
Au (0.9758, 0.7258, 0.9516)
Au (0.3400, 0.1243, 0.2511)
Au (0.6600, 0.3732, 0.7489)
Au (0.9111, 0.1243, 0.2511)
Au (0.0889, 0.3732, 0.7489)
Zn (0.0000, 0.0000, 0.5000)
Au (0.0889, 0.8757, 0.7489)
Au (0.9111, 0.6268, 0.2511)
Be (0.5000, 0.0000, 0.0000)
Au (0.3400, 0.6268, 0.2511)
Au (0.0242, 0.2742, 0.0484)
Au (0.4330, 0.1830, 0.8660)
Zn (0.5000, 0.0000, 0.5000)
Na (0.2906, 0.5406, 0.5812)
Be (0.5000, 0.5000, 0.0000)
Au (0.6600, 0.8757, 0.7489)

DFT (PBE-GGA) results for a geometry-optimized Zr2Zn2W structure.

energy relative to the lowest polymorph listed for this composition = 319 meV/atom
symmetry = P4/mbm
energy of formation from the pure elements = 0.370 eV/atom
magnetization = 0.00 μB/cell

Cell: 7.8914 7.8914 3.0030 Å, 90.00 90.00 90.00°
Fractional coordinates of all 10 atoms:
W (0.0000, 0.0000, 0.0000)
W (0.5000, 0.5000, 0.0000)
Zn (0.6153, 0.8847, 0.5000)
Zr (0.1815, 0.3185, 0.0000)
Zn (0.8847, 0.3847, 0.5000)
Zr (0.8185, 0.6815, 0.0000)
Zr (0.6815, 0.1815, 0.0000)
Zn (0.3847, 0.1153, 0.5000)
Zn (0.1153, 0.6153, 0.5000)
Zr (0.3185, 0.8185, 0.0000)

DFT (PBE-GGA) results for a geometry-optimized LaAg2Hg structure.

symmetry = P4/mmm
energy of formation from the pure elements = -0.136 eV/atom
magnetization = 0.00 μB/cell

Cell: 4.7223 4.7180 4.4960 Å, 90.00 90.00 90.00°
Fractional coordinates of all 4 atoms:
Ag (0.5000, 0.5000, 0.0000)
Hg (0.5000, 0.0000, 0.5000)
La (0.0000, 0.5000, 0.5000)
Ag (0.0000, 0.0000, 0.0000)

DFT (PBE-GGA) results for a geometry-optimized ZnGaCl3 structure.

energy relative to the lowest polymorph listed for this composition = 55 meV/atom
symmetry = Cmcm
E_form (uncorrected) = -904 meV per atom
magnetization = 0.00 μB/cell

Cell: 3.6114 6.8818 10.0228 Å, 90.00 90.00 105.22°
Fractional coordinates of all 10 atoms:
Cl (0.4488, 0.8970, 0.2500)
Cl (0.1228, 0.2455, 0.4646)
Ga (0.7906, 0.5809, 0.2500)
Cl (0.5512, 0.1030, 0.7500)
Cl (0.8772, 0.7545, 0.9646)
Zn (0.5000, 0.0000, 0.0000)
Cl (0.1228, 0.2455, 0.0354)
Ga (0.2093, 0.4191, 0.7500)
Zn (0.5000, 0.0000, 0.5000)
Cl (0.8772, 0.7545, 0.5354)

DFT (PBE-GGA) results for a geometry-optimized LaBeAs structure.

energy relative to the lowest polymorph listed for this composition = 938 meV/atom
symmetry = F-43m
energy of formation from the pure elements = 0.058 eV/atom
magnetization = 0.00 μB/cell

Cell: 4.8689 4.8689 4.8689 Å, 60.00 60.00 60.00°
Fractional coordinates of all 3 atoms:
Be (0.5000, 0.5000, 0.5000)
As (0.0000, 0.0000, 0.0000)
La (0.7500, 0.7500, 0.7500)

DFT (PBE-GGA) results for a geometry-optimized Sr3TlO structure.

symmetry = R3m
E_form (uncorrected) = -896 meV per atom
magnetization = 0.00 μB/cell

Cell: 6.7765 6.7765 6.7765 Å, 112.61 112.61 112.61°
Fractional coordinates of all 5 atoms:
Sr (0.0113, 0.6641, 0.0113)
Sr (0.6641, 0.0113, 0.0113)
Tl (0.3702, 0.3702, 0.3702)
Sr (0.0113, 0.0113, 0.6641)
O (0.8181, 0.8181, 0.8181)